Entry 1:
# Li2MnRu, optimized geometry, DFT GGA-PBE
# - Energy above the lowest structure with this stoichiometry: 0.046 eV per atom
# - Volume: 110 Å³ per cell
# - DOS at the Fermi energy: 0.917 states/eV/atom
# - Spin magnetization: 4.53 Bohr magnetons per cell
# - Crystal system: monoclinic
data_Li2MnRu
_chemical_formula_sum 'Li4 Mn2 Ru2'
_space_group_name_H-M_alt 'C 1 m 1'
_space_group_IT_number 8
_cell_length_a 8.434
_cell_length_b 2.601
_cell_length_c 5.025
_cell_angle_alpha 90.00
_cell_angle_beta 95.26
_cell_angle_gamma 90.00
loop_
_space_group_symop_operation_xyz
'x,y,z'
'x,-y,z'
'x+1/2,y+1/2,z'
'x+1/2,-y+1/2,z'
loop_
_atom_site_label
_atom_site_fract_x
_atom_site_fract_y
_atom_site_fract_z
Li1 0.000 0.000 0.000
Li2 0.244 0.000 0.789
Mn1 0.495 0.000 0.470
Ru1 0.250 0.500 0.310



Entry 2:
# MgGa2, optimized geometry, DFT GGA-PBE
# - Total DFT energy (no corrections): -2.677 eV/atom
# - Volume: 116 Å³ per cell
# - DOS at the Fermi energy: 0.238 states/eV/atom
# - Spin magnetization: 0.00 Bohr magnetons per cell
# - Crystal system: hexagonal
data_MgGa2
_chemical_formula_sum 'Mg2 Ga4'
_space_group_name_H-M_alt 'P 63/m m c'
_space_group_IT_number 194
_space_group_name_Hall '-P 6c 2c'
_cell_length_a 4.3336
_cell_length_b 4.3336
_cell_length_c 7.1060
_cell_angle_alpha 90.00
_cell_angle_beta 90.00
_cell_angle_gamma 120.00
loop_
_atom_site_label
_atom_site_fract_x
_atom_site_fract_y
_atom_site_fract_z
Mg1 0.0000 0.0000 0.2500
Ga1 0.3333 0.6667 0.0507



Entry 3:
# YBi2Ir2, optimized geometry, DFT GGA-PBE
# - Energy above the lowest structure with this stoichiometry: 0.034 eV per atom
# - Volume: 242 Å³ per cell
# - DOS at the Fermi energy: 0.906 states/eV/atom
# - Spin magnetization: 0.00 Bohr magnetons per cell
# - Crystal system: tetragonal
data_YBi2Ir2
_chemical_formula_sum 'Y2 Bi4 Ir4'
_space_group_name_H-M_alt 'I 4/m m m'
_space_group_IT_number 139
_space_group_name_Hall '-I 4 2'
_cell_length_a 4.390
_cell_length_b 4.390
_cell_length_c 12.567
_cell_angle_alpha 90.00
_cell_angle_beta 90.00
_cell_angle_gamma 90.00
loop_
_atom_site_label
_atom_site_fract_x
_atom_site_fract_y
_atom_site_fract_z
Y1 0.000 0.000 0.000
Bi1 0.000 0.500 0.250
Ir1 0.000 0.000 0.404



Entry 4:
# Tb3Nd2Dy6Th, optimized geometry, DFT GGA-PBE
# - Total DFT energy (no corrections): -4.844 eV/atom
# - Volume: 774 Å³ per cell
# - DOS at the Fermi energy: 1.291 states/eV/atom
# - Spin magnetization: 0.00 Bohr magnetons per cell
# - Crystal system: monoclinic
data_Tb3Nd2Dy6Th
_chemical_formula_sum 'Tb6 Nd4 Dy12 Th2'
_space_group_name_H-M_alt 'C 1 2/m 1'
_space_group_IT_number 12
_cell_length_a 6.204
_cell_length_b 10.735
_cell_length_c 11.807
_cell_angle_alpha 90.00
_cell_angle_beta 100.07
_cell_angle_gamma 90.00
loop_
_space_group_symop_operation_xyz
'x,y,z'
'-x,-y,-z'
'-x,y,-z'
'x,-y,z'
'x+1/2,y+1/2,z'
'-x+1/2,-y+1/2,-z'
'-x+1/2,y+1/2,-z'
'x+1/2,-y+1/2,z'
loop_
_atom_site_label
_atom_site_fract_x
_atom_site_fract_y
_atom_site_fract_z
Tb1 0.000 0.000 0.000
Tb2 0.000 0.333 0.000
Nd1 0.000 0.167 0.500
Dy1 0.245 0.500 0.249
Dy2 0.249 0.335 0.751
Th1 0.000 0.500 0.500



Entry 5:
# LiDyCuNi, optimized geometry, DFT GGA-PBE
# - Total DFT energy (no corrections): -4.195 eV/atom
# - Volume: 271 Å³ per cell
# - DOS at the Fermi energy: 0.836 states/eV/atom
# - Spin magnetization: 0.00 Bohr magnetons per cell
# - Crystal system: cubic
data_LiDyCuNi
_chemical_formula_sum 'Li4 Dy4 Cu4 Ni4'
_space_group_name_H-M_alt 'F -4 3 m'
_space_group_IT_number 216
_space_group_name_Hall 'F -4 2 3'
_cell_length_a 6.472
_cell_length_b 6.472
_cell_length_c 6.472
_cell_angle_alpha 90.00
_cell_angle_beta 90.00
_cell_angle_gamma 90.00
loop_
_atom_site_label
_atom_site_fract_x
_atom_site_fract_y
_atom_site_fract_z
Li1 0.000 0.000 0.000
Dy1 0.000 0.000 0.500
Cu1 0.250 0.250 0.250
Ni1 0.250 0.250 0.750



Entry 6:
# Re3Se, optimized geometry, DFT GGA-PBE
# - ΔE_f (raw): 486 meV per atom
# - Energy above the lowest structure with this stoichiometry: 0.179 eV per atom
# - Volume: 126 Å³ per cell
# - DOS at the Fermi energy: 0.922 states/eV/atom
# - Spin magnetization: 0.00 Bohr magnetons per cell
# - Crystal system: monoclinic
data_Re3Se
_chemical_formula_sum 'Re6 Se2'
_space_group_name_H-M_alt 'C 1 2/m 1'
_space_group_IT_number 12
_cell_length_a 9.642
_cell_length_b 2.946
_cell_length_c 4.440
_cell_angle_alpha 90.00
_cell_angle_beta 92.51
_cell_angle_gamma 90.00
loop_
_space_group_symop_operation_xyz
'x,y,z'
'-x,-y,-z'
'-x,y,-z'
'x,-y,z'
'x+1/2,y+1/2,z'
'-x+1/2,-y+1/2,-z'
'-x+1/2,y+1/2,-z'
'x+1/2,-y+1/2,z'
loop_
_atom_site_label
_atom_site_fract_x
_atom_site_fract_y
_atom_site_fract_z
Re1 0.000 0.000 0.000
Re2 0.220 0.500 0.228
Se1 0.000 0.500 0.500